No. 1
AcTaCuO6 after structural relaxation. Source: the Alexandria database, functional PBE.

Cell lengths 5.0221, 5.0221, 9.9606 Å; angles 90.00, 90.00, 90.00 degrees
Last column: magnetic moment on the atom in μB.
Positions (direct):
1 O 0.2222 0.7778 0.1965  0.27
2 O 0.2865 0.2865 0.2960  0.32
3 O 0.7865 0.2135 0.7960  0.32
4 Ac 0.5000 0.5000 0.5097  0.03
5 O 0.3363 0.3363 0.0003  0.20
6 O 0.7778 0.2222 0.1965  0.27
7 O 0.2778 0.2778 0.6965  0.27
8 O 0.7135 0.7135 0.2960  0.32
9 Ac 0.0000 0.0000 0.0097  0.03
10 O 0.2135 0.7865 0.7960  0.32
11 Cu 0.5000 0.5000 0.8356  0.79
12 O 0.8363 0.1637 0.5003  0.20
13 Ta 0.0000 0.0000 0.6691  -0.03
14 O 0.6637 0.6637 0.0003  0.20
15 O 0.7222 0.7222 0.6965  0.27
16 Cu 0.0000 0.0000 0.3356  0.79
17 O 0.1637 0.8363 0.5003  0.20
18 Ta 0.5000 0.5000 0.1691  -0.03

Properties
Energy in eV for the cell shown: -134.74
Volume in Å³ per cell: 251.2


No. 2
TaTl2Mo after structural relaxation. Source: the Alexandria database, functional PBE.

Cell lengths 5.6972, 5.6972, 5.6972 Å; angles 145.94, 127.97, 63.66 degrees
Positions (direct):
1 Ta 0.2500 0.7500 0.5000
2 Mo 0.7500 0.2500 0.5000
3 Tl 0.9951 0.9951 0.0000
4 Tl 0.5049 0.5049 0.0000

Properties
Energy relative to the lowest polymorph listed for this composition in meV per atom: 294
Volume in Å³ per cell: 80.7


No. 3
NaPrLuPb after structural relaxation. Source: the Alexandria database, functional PBE.

Cell lengths 5.4682, 5.4682, 5.4682 Å; angles 60.00, 60.00, 60.00 degrees
Positions (direct):
1 Na 0.7500 0.7500 0.7500
2 Pr 0.0000 0.0000 0.0000
3 Pb 0.2500 0.2500 0.2500
4 Lu 0.5000 0.5000 0.5000

Properties
Energy in eV for the cell shown: -14.62
Volume in Å³ per cell: 115.6


No. 4
Sr2YP after structural relaxation. Source: the Alexandria database, functional PBE.

Cell lengths 6.6691, 6.6691, 6.6691 Å; angles 139.74, 139.74, 58.24 degrees
Positions (direct):
1 Sr 0.2500 0.7500 0.5000
2 Y 0.5000 0.5000 0.0000
3 Sr 0.7500 0.2500 0.5000
4 P 0.0000 0.0000 0.0000

Properties
Energy in eV for the cell shown: -15.69
Volume in Å³ per cell: 122.7


No. 5
LiAl2Ga2 after structural relaxation. Source: the Alexandria database, functional PBE.

Cell lengths 5.0343, 5.9959, 11.8465 Å; angles 90.00, 108.38, 90.00 degrees
Positions (direct):
1 Al 0.4371 0.8740 0.2992
2 Ga 0.2514 0.3786 0.4979
3 Li 0.5527 0.6256 0.6986
4 Ga 0.1696 0.6134 0.1019
5 Ga 0.2486 0.8786 0.5021
6 Li 0.9473 0.1256 0.3014
7 Ga 0.8304 0.3866 0.8981
8 Ga 0.3304 0.1134 0.8981
9 Al 0.1501 0.1295 0.0981
10 Li 0.4473 0.3744 0.3014
11 Al 0.3499 0.6295 0.9019
12 Al 0.6501 0.3705 0.0981
13 Al 0.5629 0.1260 0.7008
14 Al 0.8499 0.8705 0.9019
15 Ga 0.6696 0.8866 0.1019
16 Li 0.0527 0.8744 0.6986
17 Ga 0.7514 0.1214 0.4979
18 Al 0.9371 0.6260 0.2992
19 Al 0.0629 0.3740 0.7008
20 Ga 0.7486 0.6214 0.5021

Properties
Energy relative to the lowest polymorph listed for this composition in meV per atom: 39
Volume in Å³ per cell: 339.4


No. 6
Na2PaPb9 after structural relaxation. Source: the Alexandria database, functional PBE.

Cell lengths 4.8156, 4.8156, 15.0865 Å; angles 90.00, 90.00, 90.00 degrees
Last column: magnetic moment on the atom in μB.
Positions (direct):
1 Pa 0.0000 0.0000 0.0000  0.63
2 Pb 0.5000 0.5000 0.3355  -0.01
3 Pb 0.5000 0.0000 0.1658  0.00
4 Pb 0.5000 0.5000 0.6645  -0.01
5 Na 0.0000 0.0000 0.3293  0.00
6 Pb 0.5000 0.0000 0.8342  0.00
7 Pb 0.0000 0.5000 0.1658  0.00
8 Pb 0.5000 0.0000 0.5000  0.00
9 Na 0.0000 0.0000 0.6707  0.00
10 Pb 0.5000 0.5000 0.0000  -0.01
11 Pb 0.0000 0.5000 0.8342  0.00
12 Pb 0.0000 0.5000 0.5000  0.00

Properties
Energy in eV for the cell shown: -46.24
Volume in Å³ per cell: 349.8